A relaxed LiAcH2 crystal, computed with PBE.

Results
VASP energy = -40.457 eV per cell

Cell: 3.8173 3.8173 14.6472 Å, 90.00 90.00 120.00°
Closest atoms and distances in Å follow each position.
Space group R-3m (No. 166, hexagonal axes)
Inequivalent atoms, fractional coordinates:
Li  0.0000  0.0000  0.0000  6 H 2.39
Ac  0.0000  0.0000  0.5000  6 H 2.67
H  0.0000  0.0000  0.2698  3 Li 2.39, 3 Ac 2.67



A relaxed Li3TcTe crystal, computed with PBE.

Results
Energy above the most stable polymorph in this dataset = 0.0 meV per atom

Cell: 5.1156 5.1156 5.1156 Å, 90.00 90.00 90.00°
Closest atoms and distances in Å follow each position.
Space group Pm-3m (No. 221)
Inequivalent atoms, fractional coordinates:
Li  0.0000  0.0000  0.5000  2 Te 2.56
Tc  0.5000  0.5000  0.5000  12 Li 3.62
Te  0.0000  0.0000  0.0000  6 Li 2.56



A relaxed ScTlIrPd crystal, computed with PBE.

Results
Formation energy from the elements = -1.820 eV/f.u.

Cell: 6.5926 6.5926 6.5926 Å, 90.00 90.00 90.00°
Closest atoms and distances in Å follow each position.
Space group F-43m (No. 216)
Inequivalent atoms, fractional coordinates:
Sc  0.0000  0.0000  0.0000  4 Ir 2.85, 4 Pd 2.85
Tl  0.0000  0.0000  0.5000  4 Pd 2.85, 4 Ir 2.85
Ir  0.2500  0.2500  0.7500  4 Tl 2.85, 4 Sc 2.85
Pd  0.2500  0.2500  0.2500  4 Tl 2.85, 4 Sc 2.85



A relaxed NaV2Ag crystal, computed with PBE.

Results
Energy above the most stable polymorph in this dataset = 756.0 meV per atom
Formation energy from the elements = 3.621 eV/f.u.

Cell: 3.5982 3.5982 21.3838 Å, 90.00 90.00 90.00°
Closest atoms and distances in Å follow each position.
Space group I-42d (No. 122)
Inequivalent atoms, fractional coordinates:
Na  0.0000  0.0000  0.0000  4 Ag 2.54
V  0.2321  0.2500  0.6250  4 V 2.45-2.64
Ag  0.0000  0.0000  0.5000  4 Na 2.54



Please write out number 4 again, unchanged.
A relaxed NaV2Ag crystal, computed with PBE.

Results
Energy above the most stable polymorph in this dataset = 756.0 meV per atom
Formation energy from the elements = 3.621 eV/f.u.

Cell: 3.5982 3.5982 21.3838 Å, 90.00 90.00 90.00°
Closest atoms and distances in Å follow each position.
Space group I-42d (No. 122)
Inequivalent atoms, fractional coordinates:
Na  0.0000  0.0000  0.0000  4 Ag 2.54
V  0.2321  0.2500  0.6250  4 V 2.45-2.64
Ag  0.0000  0.0000  0.5000  4 Na 2.54